First-principles (PBE) data for a geometry-optimized CuHgIr2 structure, as listed in Alexandria via LeMat-Bulk.

Properties
Total magnetization, μB/f.u.: 0.00
Calculated volume, Å³ per cell: 125.99
Energy relative to the lowest polymorph listed for this composition, eV/f.u.: 0.816
Electronic total energy, eV/atom: -5.0863

Cell lengths 2.816, 4.800, 9.321 Å; angles 90.00, 90.00, 90.00 degrees
Space group Cmmm (No. 65)
One atom of each set of equivalent atoms:
Cu 0.000 0.000 0.000
Hg 0.000 0.000 0.500
Ir 0.000 0.500 0.228